# GGA-PBE Tb3Nd2Sm6Dy, optimized geometry
data_Tb3Nd2Sm6Dy
_cell_length_a 6.258
_cell_length_b 6.258
_cell_length_c 11.979
_cell_angle_alpha 95.00
_cell_angle_beta 95.00
_cell_angle_gamma 119.98
_space_group_name_H-M_alt 'P 1'
_space_group_IT_number 1
loop_
_space_group_symop_operation_xyz
'x,y,z'
loop_
_atom_site_label
_atom_site_type_symbol
_atom_site_fract_x
_atom_site_fract_y
_atom_site_fract_z
Tb1 Tb 0.000 0.000 0.000
Tb2 Tb 0.334 0.666 0.000
Tb3 Tb 0.666 0.334 0.000
Nd1 Nd 0.167 0.833 0.500
Nd2 Nd 0.833 0.167 0.500
Sm1 Sm 0.084 0.416 0.248
Sm2 Sm 0.252 0.252 0.752
Sm3 Sm 0.416 0.084 0.248
Sm4 Sm 0.584 0.916 0.752
Sm5 Sm 0.748 0.748 0.248
Sm6 Sm 0.916 0.584 0.752
Dy1 Dy 0.500 0.500 0.500
# **E_tot**: -4.682 eV per atom
# **Symmetry**: C2/m, No. 12
# **Energy relative to the elements**: 0.01 eV per atom